DFT (PBE) results for an optimized crystal structure of CeEr3Zn2.

The structure belongs to space group P4/mmm (No. 123); the cell edges are 3.508, 3.508 and 12.079 Å and the angles 90.00°, 90.00° and 90.00°. The distinct sites, in fractional coordinates, are Ce at (0.000, 0.000, 0.000), Er at (0.500, 0.500, 0.207), Er at (0.500, 0.500, 0.500) and Zn at (0.000, 0.000, 0.353).

The total magnetization comes out at 0.8 μB/cell. For the formation energy, the calculation gives -203.3 meV per atom. As for the crystal system: tetragonal.